1.
Material: Pm3SmRu2
Method: DFT, GGA-PBE
State: relaxed

Lattice parameters (Å, degrees): 8.502 8.502 8.502 132.33 71.77 129.75
Fractional positions:
Pm (0.014, 0.750, 0.264)
Pm (0.250, 0.250, 0.000)
Pm (0.486, 0.750, 0.736)
Pm (0.514, 0.250, 0.264)
Pm (0.750, 0.750, 0.000)
Pm (0.986, 0.250, 0.736)
Sm (0.000, 0.500, 0.500)
Sm (0.500, 0.000, 0.500)
Ru (0.133, 0.226, 0.359)
Ru (0.367, 0.726, 0.092)
Ru (0.633, 0.274, 0.908)
Ru (0.867, 0.774, 0.641)

Computed properties:
Energy of formation from the pure elements   -0.1382 eV/atom
DOS(E_F)   5.549 states/eV per cell
Energy   -76.7 eV/cell
Total moment   0.0 μB per formula unit

2.
Material: Dy3HoHg4
Method: DFT, GGA-PBE
State: relaxed

Lattice parameters (Å, degrees): 5.234 5.234 7.502 90.00 90.00 90.00
Fractional positions:
Dy (0.000, 0.000, 0.000)
Dy (0.000, 0.000, 0.500)
Dy (0.500, 0.500, 0.000)
Ho (0.500, 0.500, 0.500)
Hg (0.000, 0.500, 0.251)
Hg (0.000, 0.500, 0.749)
Hg (0.500, 0.000, 0.251)
Hg (0.500, 0.000, 0.749)

Computed properties:
Energy of formation from the pure elements   -0.4812 eV/atom
DOS(E_F)   8.021 states/eV per cell
Energy   -23.4 eV/cell
Total moment   0.0 μB per formula unit

3.
Material: MnCo2SbH
Method: DFT, GGA-PBE
State: relaxed

Lattice parameters (Å, degrees): 3.840 3.840 3.726 90.00 90.00 90.00
Fractional positions:
Mn (0.000, 0.000, 0.000)
Co (0.000, 0.500, 0.500)
Co (0.500, 0.000, 0.500)
Sb (0.500, 0.500, 0.000)
H (0.000, 0.000, 0.500)

Computed properties:
DOS(E_F)   3.260 states/eV per cell
Energy   -30.9 eV/cell
Total moment   4.0 μB per formula unit